Model w:
DFT (PBE) results for Bi6PdPt2 after structural relaxation.

CIF file:
```
data_Bi6PdPt2
_space_group_name_H-M_alt 'P 1'
_space_group_IT_number 1
_space_group_name_Hall 'P 1'
_cell_length_a 7.213
_cell_length_b 6.729
_cell_length_c 12.084
_cell_angle_alpha 90.00
_cell_angle_beta 126.59
_cell_angle_gamma 90.00
loop_
_atom_site_label
_atom_site_fract_x
_atom_site_fract_y
_atom_site_fract_z
Bi1 0.098 0.178 0.442
Bi2 0.098 0.322 0.942
Bi3 0.224 0.656 0.406
Bi4 0.224 0.844 0.906
Bi5 0.371 0.528 0.731
Bi6 0.371 0.972 0.231
Bi7 0.629 0.028 0.769
Bi8 0.629 0.472 0.269
Bi9 0.776 0.156 0.094
Bi10 0.776 0.344 0.594
Bi11 0.902 0.678 0.058
Bi12 0.902 0.822 0.558
Pd1 0.500 0.000 0.500
Pd2 0.500 0.500 0.000
Pt1 0.213 0.142 0.728
Pt2 0.213 0.358 0.228
Pt3 0.787 0.642 0.772
Pt4 0.787 0.858 0.272
```

***

Model x:
DFT (PBE) results for Bi6PdPt2 after structural relaxation.

CIF file:
```
data_Bi6PdPt2
_space_group_name_H-M_alt 'P 1'
_space_group_IT_number 1
_space_group_name_Hall 'P 1'
_cell_length_a 12.326
_cell_length_b 12.326
_cell_length_c 5.688
_cell_angle_alpha 90.00
_cell_angle_beta 90.00
_cell_angle_gamma 120.00
loop_
_atom_site_label
_atom_site_fract_x
_atom_site_fract_y
_atom_site_fract_z
Bi1 0.096 0.548 0.220
Bi2 0.114 0.228 0.232
Bi3 0.114 0.886 0.232
Bi4 0.214 0.428 0.772
Bi5 0.214 0.786 0.772
Bi6 0.228 0.114 0.768
Bi7 0.428 0.214 0.228
Bi8 0.452 0.548 0.220
Bi9 0.452 0.904 0.220
Bi10 0.548 0.096 0.780
Bi11 0.548 0.452 0.780
Bi12 0.572 0.786 0.772
Bi13 0.772 0.886 0.232
Bi14 0.786 0.214 0.228
Bi15 0.786 0.572 0.228
Bi16 0.886 0.114 0.768
Bi17 0.886 0.772 0.768
Bi18 0.904 0.452 0.780
Pd1 0.000 0.000 0.500
Pd2 0.333 0.667 0.990
Pd3 0.667 0.333 0.010
Pt1 0.000 0.335 0.500
Pt2 0.000 0.665 0.500
Pt3 0.335 0.000 0.500
Pt4 0.335 0.335 0.500
Pt5 0.665 0.000 0.500
Pt6 0.665 0.665 0.500
```

***

Energetically preferred structure: model x | next structure: +0.021 eV/atom

***

Model w:
DFT (PBE) results for Bi6PdPt after structural relaxation.

CIF file:
```
data_Bi6PdPt
_space_group_name_H-M_alt 'P 1'
_space_group_IT_number 1
_space_group_name_Hall 'P 1'
_cell_length_a 6.705
_cell_length_b 6.705
_cell_length_c 6.705
_cell_angle_alpha 62.56
_cell_angle_beta 62.56
_cell_angle_gamma 62.56
loop_
_atom_site_label
_atom_site_fract_x
_atom_site_fract_y
_atom_site_fract_z
Bi1 0.042 0.745 0.459
Bi2 0.255 0.541 0.958
Bi3 0.459 0.042 0.745
Bi4 0.541 0.958 0.255
Bi5 0.745 0.459 0.042
Bi6 0.958 0.255 0.541
Pd1 0.000 0.000 0.000
Pt1 0.500 0.500 0.500
```

***

Model x:
DFT (PBE) results for Bi6PdPt after structural relaxation.

CIF file:
```
data_Bi6PdPt
_space_group_name_H-M_alt 'P 1'
_space_group_IT_number 1
_space_group_name_Hall 'P 1'
_cell_length_a 8.614
_cell_length_b 8.614
_cell_length_c 9.968
_cell_angle_alpha 125.11
_cell_angle_beta 125.11
_cell_angle_gamma 70.67
loop_
_atom_site_label
_atom_site_fract_x
_atom_site_fract_y
_atom_site_fract_z
Bi1 0.158 0.842 0.160
Bi2 0.158 0.842 0.840
Bi3 0.183 0.502 0.342
Bi4 0.340 0.340 0.994
Bi5 0.341 0.341 0.680
Bi6 0.498 0.817 0.658
Bi7 0.502 0.183 0.342
Bi8 0.659 0.659 0.320
Bi9 0.660 0.660 0.006
Bi10 0.817 0.498 0.658
Bi11 0.842 0.158 0.160
Bi12 0.842 0.158 0.840
Pd1 0.000 0.500 0.500
Pd2 0.500 0.000 0.500
Pt1 0.000 0.500 0.000
Pt2 0.500 0.000 0.000
```

***

Energetically preferred structure: model x | next structure: +0.031 eV/atom